Material: Be2Sb
Method: DFT, meta-GGA SCAN
State: PBEsol geometry

The energy above the lowest structure with this stoichiometry is 0.0 kJ per mole of atoms. The value obtained for the size of the total moment is 0.00 μB/cell. Its formation energy (no corrections) is 51 kJ/mol of atoms. For the density of states at the Fermi level, the calculation gives 0.271 states/eV per atom. The electronic total energy comes out at -44.38 eV/cell.

The space group is P6/mmm (No. 191) and the conventional cell measures 3.7112, 3.7112 and 3.5642 Å, with angles of 90.00, 90.00 and 120.00 degrees. Symmetry generates all atoms from Be at (0.3333, 0.6667, 0.0000) and Sb at (0.0000, 0.0000, 0.5000).



Material: BeSb3
Method: DFT, meta-GGA SCAN
State: PBEsol geometry

The energy above the lowest structure with this stoichiometry is 4.5 kJ per mole of atoms. The value obtained for the size of the total moment is 0.00 μB/cell. Its formation energy (no corrections) is 37 kJ/mol of atoms. For the density of states at the Fermi level, the calculation gives 0.483 states/eV per atom. The electronic total energy comes out at -114.60 eV/cell.

The space group is Pmm2 (No. 25) and the conventional cell measures 3.627, 3.723 and 6.895 Å, with angles of 90.00, 90.00 and 90.00 degrees. Symmetry generates all atoms from Be at (0.000, 0.000, 0.000), Sb at (0.000, 0.500, 0.468), Sb at (0.500, 0.000, 0.716) and Sb at (0.500, 0.500, 0.100).



Material: BeSb8
Method: DFT, meta-GGA SCAN
State: PBEsol geometry

The value obtained for the size of the total moment is 0.00 μB/cell. Its formation energy (no corrections) is 28 kJ/mol of atoms. For the density of states at the Fermi level, the calculation gives 0.529 states/eV per atom. The electronic total energy comes out at -599.64 eV/cell.

The space group is I4/mmm (No. 139) and the conventional cell measures 11.324, 11.324 and 3.623 Å, with angles of 90.00, 90.00 and 90.00 degrees. Symmetry generates all atoms from Be at (0.000, 0.000, 0.000), Sb at (0.000, 0.343, 0.000) and Sb at (0.132, 0.132, 0.500).



Material: Be2Sb
Method: DFT, meta-GGA SCAN
State: PBEsol geometry

The energy above the lowest structure with this stoichiometry is 15.9 kJ per mole of atoms. The value obtained for the size of the total moment is 0.00 μB/cell. Its formation energy (no corrections) is 67 kJ/mol of atoms. For the density of states at the Fermi level, the calculation gives 0.380 states/eV per atom. The electronic total energy comes out at -87.77 eV/cell.

The space group is P6_3/mmc (No. 194) and the conventional cell measures 4.5857, 4.5857 and 4.9543 Å, with angles of 90.00, 90.00 and 120.00 degrees. Symmetry generates all atoms from Be at (0.0000, 0.0000, 0.0000), Be at (0.3333, 0.6667, 0.2500) and Sb at (0.3333, 0.6667, 0.7500).



Material: BeSb7
Method: DFT, meta-GGA SCAN
State: PBEsol geometry

The value obtained for the size of the total moment is 0.00 μB/cell. Its formation energy (no corrections) is 51 kJ/mol of atoms. For the density of states at the Fermi level, the calculation gives 0.520 states/eV per atom. The electronic total energy comes out at -1043.67 eV/cell.

The space group is Fm-3m (No. 225) and the conventional cell measures 9.257, 9.257 and 9.257 Å, with angles of 90.00, 90.00 and 90.00 degrees. Symmetry generates all atoms from Be at (0.000, 0.000, 0.000), Sb at (0.000, 0.000, 0.500) and Sb at (0.000, 0.250, 0.250).



Material: BeSb
Method: DFT, meta-GGA SCAN
State: PBEsol geometry

The energy above the lowest structure with this stoichiometry is 0.0 kJ per mole of atoms. The value obtained for the size of the total moment is 0.00 μB/cell. Its formation energy (no corrections) is 30 kJ/mol of atoms. For the density of states at the Fermi level, the calculation gives 0.112 states/eV per atom. The electronic total energy comes out at -163.96 eV/cell.

The space group is Pnma (No. 62) and the conventional cell measures 6.035, 4.082 and 7.006 Å, with angles of 90.00, 90.00 and 90.00 degrees. Symmetry generates all atoms from Be at (0.214, 0.250, 0.148) and Sb at (0.172, 0.250, 0.806).



Material: BeSb
Method: DFT, meta-GGA SCAN
State: PBEsol geometry

The energy above the lowest structure with this stoichiometry is 61.4 kJ per mole of atoms. The value obtained for the size of the total moment is 0.00 μB/cell. Its formation energy (no corrections) is 91 kJ/mol of atoms. For the density of states at the Fermi level, the calculation gives 0.565 states/eV per atom. The electronic total energy comes out at -317.75 eV/cell.

The space group is Fd-3m (No. 227, origin choice 2) and the conventional cell measures 6.770, 6.770 and 6.770 Å, with angles of 90.00, 90.00 and 90.00 degrees. Symmetry generates all atoms from Be at (0.125, 0.125, 0.125) and Sb at (0.125, 0.125, 0.625).



Material: Be5Sb
Method: DFT, meta-GGA SCAN
State: PBEsol geometry

The value obtained for the size of the total moment is 0.00 μB/cell. Its formation energy (no corrections) is 41 kJ/mol of atoms. For the density of states at the Fermi level, the calculation gives 0.267 states/eV per atom. The electronic total energy comes out at -112.98 eV/cell.

The space group is Amm2 (No. 38) and the conventional cell measures 3.384, 2.928 and 14.267 Å, with angles of 90.00, 90.00 and 90.00 degrees. Symmetry generates all atoms from Be at (0.000, 0.000, 0.000), Be at (0.000, 0.000, 0.229), Be at (0.000, 0.000, 0.611), Be at (0.500, 0.000, 0.119), Be at (0.500, 0.000, 0.508) and Sb at (0.500, 0.000, 0.847).



Material: BeSb3
Method: DFT, meta-GGA SCAN
State: PBEsol geometry

The energy above the lowest structure with this stoichiometry is 0.0 kJ per mole of atoms. The value obtained for the size of the total moment is 0.00 μB/cell. Its formation energy (no corrections) is 33 kJ/mol of atoms. For the density of states at the Fermi level, the calculation gives 0.507 states/eV per atom. The electronic total energy comes out at -114.79 eV/cell.

The space group is P-6m2 (No. 187) and the conventional cell measures 3.8331, 3.8331 and 7.3343 Å, with angles of 90.00, 90.00 and 120.00 degrees. Symmetry generates all atoms from Be at (0.0000, 0.0000, 0.0000), Sb at (0.0000, 0.0000, 0.5000) and Sb at (0.3333, 0.6667, 0.2033).



Material: BeSb3
Method: DFT, meta-GGA SCAN
State: PBEsol geometry

The energy above the lowest structure with this stoichiometry is 6.2 kJ per mole of atoms. The value obtained for the size of the total moment is 0.00 μB/cell. Its formation energy (no corrections) is 39 kJ/mol of atoms. For the density of states at the Fermi level, the calculation gives 0.525 states/eV per atom. The electronic total energy comes out at -229.06 eV/cell.

The space group is Cmmm (No. 65) and the conventional cell measures 3.837, 5.284 and 8.817 Å, with angles of 90.00, 90.00 and 90.00 degrees. Symmetry generates all atoms from Be at (0.000, 0.000, 0.000), Sb at (0.000, 0.000, 0.500) and Sb at (0.000, 0.500, 0.190).



Material: ScBeSb
Method: DFT, meta-GGA SCAN
State: PBEsol geometry

The energy above the lowest structure with this stoichiometry is 0.0 kJ per mole of atoms. The value obtained for the size of the total moment is 0.00 μB/cell. Its formation energy (no corrections) is -13 kJ/mol of atoms. For the density of states at the Fermi level, the calculation gives 0.594 states/eV per atom. The electronic total energy comes out at -225.00 eV/cell.

The space group is F-43m (No. 216) and the conventional cell measures 6.003, 6.003 and 6.003 Å, with angles of 90.00, 90.00 and 90.00 degrees. Symmetry generates all atoms from Sc at (0.000, 0.000, 0.000), Be at (0.250, 0.250, 0.250) and Sb at (0.000, 0.000, 0.500).



Material: ScBe2Sb
Method: DFT, meta-GGA SCAN
State: PBEsol geometry

The value obtained for the size of the total moment is 0.00 μB/cell. Its formation energy (no corrections) is -7 kJ/mol of atoms. For the density of states at the Fermi level, the calculation gives 0.334 states/eV per atom. The electronic total energy comes out at -60.51 eV/cell.

The space group is P4/mmm (No. 123) and the conventional cell measures 3.984, 3.984 and 3.798 Å, with angles of 90.00, 90.00 and 90.00 degrees. Symmetry generates all atoms from Sc at (0.000, 0.000, 0.000), Be at (0.000, 0.500, 0.500) and Sb at (0.500, 0.500, 0.000).



Material: ScBeSb
Method: DFT, meta-GGA SCAN
State: PBEsol geometry

The energy above the lowest structure with this stoichiometry is 7.8 kJ per mole of atoms. The value obtained for the size of the total moment is 0.93 μB/cell. Its formation energy (no corrections) is -5 kJ/mol of atoms. For the density of states at the Fermi level, the calculation gives 0.685 states/eV per atom. The electronic total energy comes out at -112.02 eV/cell.

The space group is I4mm (No. 107) and the conventional cell measures 3.374, 3.374 and 9.732 Å, with angles of 90.00, 90.00 and 90.00 degrees. Symmetry generates all atoms from Sc at (0.000, 0.000, 0.000), Be at (0.000, 0.000, 0.679) and Sb at (0.000, 0.000, 0.299).



Material: Sc2BeSiSb
Method: DFT, meta-GGA SCAN
State: PBEsol geometry

The value obtained for the size of the total moment is 0.00 μB/cell. Its formation energy (no corrections) is -23 kJ/mol of atoms. For the density of states at the Fermi level, the calculation gives 0.643 states/eV per atom. The electronic total energy comes out at -81.27 eV/cell.

The space group is P4/mmm (No. 123) and the conventional cell measures 4.855, 4.855 and 3.978 Å, with angles of 90.00, 90.00 and 90.00 degrees. Symmetry generates all atoms from Sc at (0.000, 0.500, 0.000), Be at (0.000, 0.000, 0.000), Si at (0.000, 0.000, 0.500) and Sb at (0.500, 0.500, 0.500).



Material: BeSbSe2
Method: DFT, meta-GGA SCAN
State: PBEsol geometry

The value obtained for the size of the total moment is 0.00 μB/cell. Its formation energy (no corrections) is 22 kJ/mol of atoms. For the density of states at the Fermi level, the calculation gives 0.343 states/eV per atom. The electronic total energy comes out at -161.74 eV/cell.

The space group is Imm2 (No. 44) and the conventional cell measures 3.481, 5.609 and 8.394 Å, with angles of 90.00, 90.00 and 90.00 degrees. Symmetry generates all atoms from Be at (0.000, 0.000, 0.000), Sb at (0.000, 0.500, 0.741), Se at (0.000, 0.000, 0.504) and Se at (0.000, 0.500, 0.348).



Material: Be2SbSe
Method: DFT, meta-GGA SCAN
State: PBEsol geometry

The energy above the lowest structure with this stoichiometry is 0.0 kJ per mole of atoms. The value obtained for the size of the total moment is 0.00 μB/cell. Its formation energy (no corrections) is 49 kJ/mol of atoms. For the density of states at the Fermi level, the calculation gives 0.310 states/eV per atom. The electronic total energy comes out at -64.03 eV/cell.

The space group is P4/mmm (No. 123) and the conventional cell measures 3.153, 3.153 and 6.499 Å, with angles of 90.00, 90.00 and 90.00 degrees. Symmetry generates all atoms from Be at (0.000, 0.000, 0.179), Sb at (0.500, 0.500, 0.500) and Se at (0.500, 0.500, 0.000).



Material: Be2SbSe
Method: DFT, meta-GGA SCAN
State: PBEsol geometry

The energy above the lowest structure with this stoichiometry is 41.1 kJ per mole of atoms. The value obtained for the size of the total moment is 0.00 μB/cell. Its formation energy (no corrections) is 90 kJ/mol of atoms. For the density of states at the Fermi level, the calculation gives 0.372 states/eV per atom. The electronic total energy comes out at -249.32 eV/cell.

The space group is F-43m (No. 216) and the conventional cell measures 6.497, 6.497 and 6.497 Å, with angles of 90.00, 90.00 and 90.00 degrees. Symmetry generates all atoms from Be at (0.000, 0.000, 0.000), Be at (0.250, 0.250, 0.250), Sb at (0.000, 0.000, 0.500) and Se at (0.250, 0.250, 0.750).



Material: BeSbSe
Method: DFT, meta-GGA SCAN
State: PBEsol geometry

The value obtained for the size of the total moment is 0.00 μB/cell. Its formation energy (no corrections) is 78 kJ/mol of atoms. For the density of states at the Fermi level, the calculation gives 0.678 states/eV per atom. The electronic total energy comes out at -237.08 eV/cell.

The space group is F-43m (No. 216) and the conventional cell measures 6.532, 6.532 and 6.532 Å, with angles of 90.00, 90.00 and 90.00 degrees. Symmetry generates all atoms from Be at (0.000, 0.000, 0.000), Sb at (0.250, 0.250, 0.750) and Se at (0.000, 0.000, 0.500).



Material: BeTcSb2Se
Method: DFT, meta-GGA SCAN
State: PBEsol geometry

The value obtained for the size of the total moment is 0.00 μB/cell. Its formation energy (no corrections) is 39 kJ/mol of atoms. For the density of states at the Fermi level, the calculation gives 0.340 states/eV per atom. The electronic total energy comes out at -131.98 eV/cell.

The space group is P4/mmm (No. 123) and the conventional cell measures 5.060, 5.060 and 4.240 Å, with angles of 90.00, 90.00 and 90.00 degrees. Symmetry generates all atoms from Be at (0.000, 0.000, 0.000), Tc at (0.000, 0.000, 0.500), Sb at (0.000, 0.500, 0.500) and Se at (0.500, 0.500, 0.000).



Material: BeSi2Sb
Method: DFT, meta-GGA SCAN
State: PBEsol geometry

The energy above the lowest structure with this stoichiometry is 16.7 kJ per mole of atoms. The value obtained for the size of the total moment is 0.00 μB/cell. Its formation energy (no corrections) is 81 kJ/mol of atoms. For the density of states at the Fermi level, the calculation gives 0.623 states/eV per atom. The electronic total energy comes out at -233.22 eV/cell.

The space group is F-43m (No. 216) and the conventional cell measures 6.408, 6.408 and 6.408 Å, with angles of 90.00, 90.00 and 90.00 degrees. Symmetry generates all atoms from Be at (0.000, 0.000, 0.000), Si at (0.000, 0.000, 0.500), Si at (0.250, 0.250, 0.250) and Sb at (0.250, 0.250, 0.750).